## ZnIr2Ru (GGA-PBEsol)

Data for a geometry-optimized ZnIr2Ru structure.

Cell: 8.866 2.714 4.615 Å, 90.00 99.54 90.00°
Sites, in units of the cell vectors:
Zn 0.000 0.000 0.000
Zn 0.500 0.500 0.000
Ir 0.000 0.500 0.505
Ir 0.254 0.500 0.236
Ir 0.500 0.000 0.505
Ir 0.754 0.000 0.236
Ru 0.244 0.000 0.735
Ru 0.744 0.500 0.735

The value obtained for the volume is 13.69 Å³ per atom. As for the magnetization: 0.00 μB/cell. Its crystal system is monoclinic. The density of states at the Fermi level comes out at 0.825 states/eV per atom.

---

## ZnIr2Ru (GGA-PBEsol)

Data for a geometry-optimized ZnIr2Ru structure.

Cell: 2.708 2.708 25.937 Å, 90.00 90.00 120.00°
Sites, in units of the cell vectors:
Zn 0.000 0.000 0.000
Zn 0.333 0.667 0.667
Zn 0.667 0.333 0.333
Ir 0.000 0.000 0.250
Ir 0.000 0.000 0.750
Ir 0.333 0.667 0.417
Ir 0.333 0.667 0.916
Ir 0.667 0.333 0.084
Ir 0.667 0.333 0.583
Ru 0.000 0.000 0.500
Ru 0.333 0.667 0.167
Ru 0.667 0.333 0.833

The value obtained for the volume is 13.72 Å³ per atom. As for the magnetization: 0.00 μB/cell. Its crystal system is trigonal. The density of states at the Fermi level comes out at 0.766 states/eV per atom.

---

## ZnIr2Ru (GGA-PBEsol)

Data for a geometry-optimized ZnIr2Ru structure.

Cell: 2.718 2.718 7.394 Å, 90.00 90.00 90.00°
Sites, in units of the cell vectors:
Zn 0.000 0.000 0.000
Ir 0.500 0.500 0.254
Ir 0.500 0.500 0.746
Ru 0.000 0.000 0.500

The value obtained for the volume is 13.66 Å³ per atom. As for the magnetization: 0.00 μB/cell. Its crystal system is tetragonal. The density of states at the Fermi level comes out at 0.646 states/eV per atom.

---

## ZnIr2Ru (GGA-PBEsol)

Data for a geometry-optimized ZnIr2Ru structure.

Cell: 3.776 3.776 7.663 Å, 90.00 90.00 90.00°
Sites, in units of the cell vectors:
Zn 0.000 0.000 0.000
Zn 0.500 0.500 0.500
Ir 0.000 0.500 0.250
Ir 0.000 0.500 0.750
Ir 0.500 0.000 0.250
Ir 0.500 0.000 0.750
Ru 0.000 0.000 0.500
Ru 0.500 0.500 0.000

The value obtained for the volume is 13.66 Å³ per atom. As for the magnetization: 0.00 μB/cell. Its crystal system is tetragonal. The density of states at the Fermi level comes out at 1.116 states/eV per atom.

---

## ZnIr2Ru (GGA-PBEsol)

Data for a geometry-optimized ZnIr2Ru structure.

Cell: 2.707 2.707 25.954 Å, 90.00 90.00 120.00°
Sites, in units of the cell vectors:
Zn 0.000 0.000 0.000
Zn 0.333 0.667 0.667
Zn 0.667 0.333 0.333
Ir 0.000 0.000 0.502
Ir 0.000 0.000 0.749
Ir 0.333 0.667 0.169
Ir 0.333 0.667 0.416
Ir 0.667 0.333 0.083
Ir 0.667 0.333 0.836
Ru 0.000 0.000 0.250
Ru 0.333 0.667 0.917
Ru 0.667 0.333 0.583

The value obtained for the volume is 13.72 Å³ per atom. As for the magnetization: 0.00 μB/cell. Its crystal system is trigonal. The density of states at the Fermi level comes out at 0.961 states/eV per atom.

---

## ZnIr2Ru (GGA-PBEsol)

Data for a geometry-optimized ZnIr2Ru structure.

Cell: 2.716 3.758 5.351 Å, 90.00 90.00 90.00°
Sites, in units of the cell vectors:
Zn 0.000 0.000 0.000
Ir 0.500 0.500 0.251
Ir 0.500 0.500 0.749
Ru 0.000 0.000 0.500

The value obtained for the volume is 13.65 Å³ per atom. As for the magnetization: 0.00 μB/cell. Its crystal system is orthorhombic. The density of states at the Fermi level comes out at 0.867 states/eV per atom.

---

## ZnIr2Ru (GGA-PBEsol)

Data for a geometry-optimized ZnIr2Ru structure.

Cell: 2.836 4.410 8.730 Å, 90.00 90.00 90.00°
Sites, in units of the cell vectors:
Zn 0.000 0.000 0.000
Zn 0.500 0.500 0.500
Ir 0.000 0.000 0.504
Ir 0.000 0.500 0.733
Ir 0.500 0.000 0.233
Ir 0.500 0.500 0.004
Ru 0.000 0.500 0.267
Ru 0.500 0.000 0.767

The value obtained for the volume is 13.64 Å³ per atom. As for the magnetization: 0.00 μB/cell. Its crystal system is orthorhombic. The density of states at the Fermi level comes out at 1.005 states/eV per atom.

---

## ZnIrRu3 (GGA-PBEsol)

Data for a geometry-optimized ZnIrRu3 structure.

Cell: 4.612 4.612 4.612 Å, 90.00 90.00 90.00°
Sites, in units of the cell vectors:
Zn 0.000 0.000 0.000
Ir 0.500 0.500 0.500
Ru 0.000 0.500 0.500
Ru 0.500 0.000 0.500
Ru 0.500 0.500 0.000

The value obtained for the volume is 19.61 Å³ per atom. As for the magnetization: 0.00 μB/cell. Its crystal system is cubic. The density of states at the Fermi level comes out at 1.427 states/eV per atom.

---

## Zr2IrRu (GGA-PBEsol)

Data for a geometry-optimized Zr2IrRu structure.

Cell: 3.011 3.011 26.791 Å, 90.00 90.00 120.00°
Sites, in units of the cell vectors:
Zr 0.000 0.000 0.000
Zr 0.000 0.000 0.237
Zr 0.333 0.667 0.667
Zr 0.333 0.667 0.903
Zr 0.667 0.333 0.333
Zr 0.667 0.333 0.570
Ir 0.000 0.000 0.747
Ir 0.333 0.667 0.414
Ir 0.667 0.333 0.081
Ru 0.000 0.000 0.495
Ru 0.333 0.667 0.161
Ru 0.667 0.333 0.828

The value obtained for the volume is 17.53 Å³ per atom. As for the magnetization: 0.01 μB/cell. Its crystal system is trigonal. The density of states at the Fermi level comes out at 1.483 states/eV per atom.

---

## ZrIrRu3 (GGA-PBEsol)

Data for a geometry-optimized ZrIrRu3 structure.

Cell: 4.598 4.598 4.598 Å, 90.00 90.00 90.00°
Sites, in units of the cell vectors:
Zr 0.000 0.000 0.000
Ir 0.500 0.500 0.500
Ru 0.000 0.500 0.500
Ru 0.500 0.000 0.500
Ru 0.500 0.500 0.000

The value obtained for the volume is 19.44 Å³ per atom. As for the magnetization: 0.00 μB/cell. Its crystal system is cubic. The density of states at the Fermi level comes out at 1.407 states/eV per atom.

---

## Zr2IrRu (GGA-PBEsol)

Data for a geometry-optimized Zr2IrRu structure.

Cell: 3.131 4.279 5.360 Å, 90.00 90.00 90.00°
Sites, in units of the cell vectors:
Zr 0.000 0.000 0.000
Zr 0.500 0.500 0.361
Ir 0.000 0.000 0.499
Ru 0.500 0.500 0.877

The value obtained for the volume is 17.95 Å³ per atom. As for the magnetization: 0.00 μB/cell. Its crystal system is orthorhombic. The density of states at the Fermi level comes out at 0.489 states/eV per atom.

---

## Zr2IrRu (GGA-PBEsol)

Data for a geometry-optimized Zr2IrRu structure.

Cell: 3.292 3.292 6.333 Å, 90.00 90.00 90.00°
Sites, in units of the cell vectors:
Zr 0.000 0.000 0.250
Zr 0.000 0.000 0.750
Ir 0.500 0.500 0.000
Ru 0.500 0.500 0.500

The value obtained for the volume is 17.16 Å³ per atom. As for the magnetization: 0.00 μB/cell. Its crystal system is tetragonal. The density of states at the Fermi level comes out at 0.606 states/eV per atom.

---

no.,energy (Ry/atom),energy of formation (eV/atom)
1,-0.578,-0.017
2,-0.582,-0.070
3,-0.584,-0.095
4,-0.576,0.017
5,-0.577,-0.006
6,-0.579,-0.023
7,-0.564,0.172
8,-0.476,1.908
9,-0.690,0.160
10,-0.625,1.388
11,-0.731,-0.407
12,-0.754,-0.709